10
Lattice="-5.3360 3.2392 4.5504 3.0596 -3.5700 6.1291 2.3491 3.0343 0.5947" Properties=species:S:1:pos:R:3 comment="Nd2CdCu2 | Alexandria | GGA-PBE | optimized geometry" crystal_system=tetragonal total_magnetization_mub_per_atom=0.00 formation_energy_ev_per_atom=-0.26 vol_a3_per_atom=23.2 pbc="T T T"
Nd -3.0658 1.5618 4.1416
Nd 0.7894 -1.8926 6.5379
Nd 0.0625 -0.5950 2.7886
Nd -2.3389 0.2642 7.8908
Cd 0.0364 1.3518 5.6371
Cd 1.1746 1.5171 0.2974
Cu -2.3621 3.0105 6.6480
Cu 2.4348 -0.3070 4.6262
Cu -0.4995 2.3306 2.7595
Cu 0.5722 0.3729 8.5147